NaLa2In2: relaxed, PBE.

Geometry as POSCAR:
```
NaLa2In2
1.0
-4.080 0.995 2.543
-2.688 -0.654 -4.057
-4.105 -6.931 0.865
Na In La
1 2 2
direct
0.000 0.000 0.000
0.405 0.405 0.190
0.595 0.595 0.810
0.750 0.250 0.500
0.250 0.750 0.500
```

Properties
Total energy (eV/atom): -3.3511
Mass density (g/cm3): 4.99
Calculated volume (Å³ per cell): 176
Formation energy (eV/f.u.): -0.10
Energy above the most stable polymorph in this dataset (eV/f.u.): 1.424